# 1
Here is a geometry-optimized NaAcMg2Au4 structure from the Alexandria database. Energies are from GGA-PBE.

The magnetization comes out at 0.000 μB per formula unit. As for the energy of formation: -56.0 kJ/mol of atoms. The symmetry is R-3m (166). The value obtained for the density of states at the Fermi level is 3.62 states/eV/cell. The calculation puts the energy at -3.30 eV per atom.

Lattice parameters (Å, degrees): 4.7550 4.7550 9.7690 75.91 75.91 60.00
Fractional positions:
1 Mg 0.7656 0.7656 0.7032
2 Mg 0.2344 0.2344 0.2968
3 Au 0.3976 0.3976 0.8073
4 Au 0.1162 0.1162 0.6513
5 Au 0.8838 0.8838 0.3487
6 Au 0.6024 0.6024 0.1927
7 Ac 0.0000 0.0000 0.0000
8 Na 0.5000 0.5000 0.5000



# 2
Here is a geometry-optimized NaAcMgAu structure from the Alexandria database. Energies are from GGA-PBE.

The magnetization comes out at 0.000 μB per formula unit. As for the energy of formation: -24.0 kJ/mol of atoms. The symmetry is F-43m (216). The value obtained for the density of states at the Fermi level is 6.50 states/eV/cell. The calculation puts the energy at -2.82 eV per atom.

Lattice parameters (Å, degrees): 5.3345 5.3345 5.3345 60.00 60.00 60.00
Fractional positions:
1 Ac 0.7500 0.7500 0.7500
2 Au 0.0000 0.0000 0.0000
3 Mg 0.2500 0.2500 0.2500
4 Na 0.5000 0.5000 0.5000